DFT (PBE) results for a relaxed ZrTaRu3 crystal.

Calculated values
Calculated total energy: -43.8 eV/cell
Polymorph energy (0 for the lowest one): 0 meV/atom
DOS at the Fermi energy: 4.676 states/eV/f.u.
E_form: 0.8757 eV/atom

Unit cell a=4.6635 b=4.6635 c=4.6635 alpha=90.00 beta=90.00 gamma=90.00
With the nearest neighbours (Å) after each atom.
Space group Pm-3m (No. 221)
Inequivalent atoms, fractional coordinates:
Zr 0.0000 0.0000 0.0000 [1 per cell]  12 Ru 3.30
Ta 0.5000 0.5000 0.5000 [1 per cell]  6 Ru 2.33
Ru 0.0000 0.5000 0.5000 [3 per cell]  2 Ta 2.33

---

DFT (PBE) results for a relaxed HoThMgPa crystal.

Calculated values
Calculated total energy: -87.7 eV/cell
DOS at the Fermi energy: 6.146 states/eV/f.u.
E_form: 0.2938 eV/atom

Unit cell a=7.6481 b=7.6481 c=7.6481 alpha=90.00 beta=90.00 gamma=90.00
With the nearest neighbours (Å) after each atom.
Space group F-43m (No. 216)
Inequivalent atoms, fractional coordinates:
Ho 0.0000 0.0000 0.0000 [4 per cell]  4 Pa 3.31, 4 Mg 3.31
Th 0.0000 0.0000 0.5000 [4 per cell]  4 Pa 3.31, 4 Mg 3.31
Mg 0.2500 0.2500 0.7500 [4 per cell]  4 Ho 3.31, 4 Th 3.31
Pa 0.2500 0.2500 0.2500 [4 per cell]  4 Th 3.31, 4 Ho 3.31

---

DFT (PBE) results for a relaxed BeCo2Br crystal.

Calculated values
Calculated total energy: -67.1 eV/cell
Polymorph energy (0 for the lowest one): 387 meV/atom
DOS at the Fermi energy: 2.140 states/eV/f.u.
Energy relative to the elements, uncorrected: 0.7071 eV per atom

Unit cell a=5.7911 b=5.7911 c=5.7911 alpha=90.00 beta=90.00 gamma=90.00
With the nearest neighbours (Å) after each atom.
Space group Fm-3m (No. 225)
Inequivalent atoms, fractional coordinates:
Be 0.0000 0.0000 0.0000 [4 per cell]  8 Co 2.51
Co 0.2500 0.2500 0.2500 [8 per cell]  4 Br 2.51, 4 Be 2.51
Br 0.0000 0.0000 0.5000 [4 per cell]  8 Co 2.51